# Hf4Tc5Sn, optimized geometry, DFT GGA-PBE
data_Hf4Tc5Sn
_chemical_formula_sum 'Hf4 Tc5 Sn1'
_symmetry_space_group_name_H-M 'P 1'
_symmetry_Int_Tables_number 1
_cell_length_a 3.284
_cell_length_b 3.284
_cell_length_c 16.110
_cell_angle_alpha 90.00
_cell_angle_beta 90.00
_cell_angle_gamma 90.00
loop_
_symmetry_equiv_pos_as_xyz
'x,y,z'
loop_
_atom_site_label
_atom_site_type_symbol
_atom_site_fract_x
_atom_site_fract_y
_atom_site_fract_z
Hf1 Hf 0.000 0.000 0.601
Hf2 Hf 0.000 0.000 0.802
Sn1 Sn 0.000 0.000 0.000
Tc1 Tc 0.500 0.500 0.098
Tc2 Tc 0.500 0.500 0.299
Hf3 Hf 0.000 0.000 0.399
Hf4 Hf 0.000 0.000 0.198
Tc3 Tc 0.500 0.500 0.500
Tc4 Tc 0.500 0.500 0.902
Tc5 Tc 0.500 0.500 0.701
# E_form ... -3.58 eV/f.u.
# VASP energy ... -9.923 eV/atom
# Theoretical density ... 12.64 g/cm³


# Tb3Ho5Sc3, optimized geometry, DFT GGA-PBE
data_Tb3Ho5Sc3
_chemical_formula_sum 'Tb3 Ho5 Sc3'
_symmetry_space_group_name_H-M 'P 1'
_symmetry_Int_Tables_number 1
_cell_length_a 3.372
_cell_length_b 10.787
_cell_length_c 10.787
_cell_angle_alpha 120.00
_cell_angle_beta 90.00
_cell_angle_gamma 90.00
loop_
_symmetry_equiv_pos_as_xyz
'x,y,z'
loop_
_atom_site_label
_atom_site_type_symbol
_atom_site_fract_x
_atom_site_fract_y
_atom_site_fract_z
Ho1 Ho 0.500 0.667 0.333
Tb1 Tb 0.500 0.345 0.000
Ho2 Ho 0.500 0.000 0.835
Ho3 Ho 0.500 0.835 0.000
Sc1 Sc 0.000 0.408 0.408
Ho4 Ho 0.500 0.333 0.667
Tb2 Tb 0.500 0.000 0.345
Sc2 Sc 0.000 0.000 0.592
Tb3 Tb 0.500 0.655 0.655
Ho5 Ho 0.500 0.165 0.165
Sc3 Sc 0.000 0.592 0.000
# E_form ... 3.97 eV/f.u.
# VASP energy ... -4.709 eV/atom
# Theoretical density ... 7.02 g/cm³


# BaTaSi, optimized geometry, DFT GGA-PBE
data_BaTaSi
_chemical_formula_sum 'Ba1 Ta1 Si1'
_symmetry_space_group_name_H-M 'P 1'
_symmetry_Int_Tables_number 1
_cell_length_a 5.118
_cell_length_b 5.118
_cell_length_c 5.118
_cell_angle_alpha 60.00
_cell_angle_beta 60.00
_cell_angle_gamma 60.00
loop_
_symmetry_equiv_pos_as_xyz
'x,y,z'
loop_
_atom_site_label
_atom_site_type_symbol
_atom_site_fract_x
_atom_site_fract_y
_atom_site_fract_z
Ba1 Ba 0.250 0.250 0.250
Ta1 Ta 0.500 0.500 0.500
Si1 Si 0.000 0.000 0.000
# Energy relative to the lowest polymorph listed for this composition ... 2189 meV per atom
# Raw formation energy ... 1930 meV/atom
# VASP energy ... -4.470 eV/atom
# Theoretical density ... 6.07 g/cm³


# CdTc2As2, optimized geometry, DFT GGA-PBE
data_CdTc2As2
_chemical_formula_sum 'Cd2 Tc4 As4'
_symmetry_space_group_name_H-M 'P 1'
_symmetry_Int_Tables_number 1
_cell_length_a 7.281
_cell_length_b 7.281
_cell_length_c 3.106
_cell_angle_alpha 90.00
_cell_angle_beta 90.00
_cell_angle_gamma 90.00
loop_
_symmetry_equiv_pos_as_xyz
'x,y,z'
loop_
_atom_site_label
_atom_site_type_symbol
_atom_site_fract_x
_atom_site_fract_y
_atom_site_fract_z
Cd1 Cd 0.500 0.500 0.000
Tc1 Tc 0.145 0.355 0.000
Tc2 Tc 0.855 0.645 0.000
As1 As 0.647 0.853 0.500
As2 As 0.353 0.147 0.500
As3 As 0.853 0.353 0.500
As4 As 0.147 0.647 0.500
Tc3 Tc 0.355 0.855 0.000
Cd2 Cd 0.000 0.000 0.000
Tc4 Tc 0.645 0.145 0.000
# Energy relative to the lowest polymorph listed for this composition ... 0 meV per atom
# E_form ... 0.32 eV/f.u.
# VASP energy ... -6.125 eV/atom
# Theoretical density ... 9.24 g/cm³